1.
Entry from OQMD via LeMat-Bulk: a relaxed structure of MgCoBW (PBE-GGA).

Its total energy is -6.230 eV per atom. Its energy above the lowest structure with this stoichiometry is 0.000 eV/atom.

```
MgCoBW
1.0
-0.092 -0.923 3.986
-3.035 -2.300 1.499
0.751 -3.830 1.232
B Co Mg W
1 1 1 1
Direct
0.000 0.000 0.000 B
0.750 0.750 0.750 Co
0.500 0.500 0.500 Mg
0.250 0.250 0.250 W
```

2.
Entry from OQMD via LeMat-Bulk: a relaxed structure of YMgCoB (PBE-GGA).

Its total energy is -5.047 eV per atom. Its energy above the lowest structure with this stoichiometry is 0.000 eV/atom.

```
YMgCoB
1.0
-2.687 0.947 3.303
-2.195 3.770 0.014
-4.316 0.014 -0.634
B Co Mg Y
1 1 1 1
Direct
0.000 0.000 0.000 B
0.750 0.750 0.750 Co
0.500 0.500 0.500 Mg
0.250 0.250 0.250 Y
```

3.
Entry from OQMD via LeMat-Bulk: a relaxed structure of YMgCoB (PBE-GGA).

Its total energy is -4.899 eV per atom. Its energy above the lowest structure with this stoichiometry is 0.147 eV/atom.

```
YMgCoB
1.0
0.000 3.090 3.090
3.090 0.000 3.090
3.090 3.090 0.000
B Co Mg Y
1 1 1 1
Direct
0.000 0.000 0.000 B
0.750 0.750 0.750 Co
0.250 0.250 0.250 Mg
0.500 0.500 0.500 Y
```

4.
Entry from OQMD via LeMat-Bulk: a relaxed structure of MgZrCoB (PBE-GGA).

Its total energy is -5.626 eV per atom. Its energy above the lowest structure with this stoichiometry is 0.246 eV/atom.

```
MgZrCoB
1.0
0.000 2.991 2.991
2.991 0.000 2.991
2.991 2.991 0.000
B Co Mg Zr
1 1 1 1
Direct
0.250 0.250 0.250 B
0.500 0.500 0.500 Co
0.750 0.750 0.750 Mg
0.000 0.000 0.000 Zr
```

5.
Entry from OQMD via LeMat-Bulk: a relaxed structure of MgZrCoB (PBE-GGA).

Its total energy is -5.683 eV per atom. Its energy above the lowest structure with this stoichiometry is 0.190 eV/atom.

```
MgZrCoB
1.0
2.724 -1.227 2.962
-1.218 -2.696 2.992
1.469 -3.942 0.004
B Co Mg Zr
1 1 1 1
Direct
0.500 0.500 0.500 B
0.250 0.250 0.250 Co
0.750 0.750 0.750 Mg
0.000 0.000 0.000 Zr
```

6.
Entry from OQMD via LeMat-Bulk: a relaxed structure of MgZrCoB (PBE-GGA).

Its total energy is -5.873 eV per atom. Its energy above the lowest structure with this stoichiometry is 0.000 eV/atom.

```
MgZrCoB
1.0
1.719 -3.860 -0.585
0.274 -2.729 3.266
-2.475 -3.473 0.091
B Co Mg Zr
1 1 1 1
Direct
0.000 0.000 0.000 B
0.500 0.500 0.500 Co
0.750 0.750 0.750 Mg
0.250 0.250 0.250 Zr
```

7.
Entry from OQMD via LeMat-Bulk: a relaxed structure of CoB3Mo3 (PBE-GGA).

Its total energy is -9.022 eV per atom.

```
CoB3Mo3
1.0
0.937 0.208 3.018
0.387 -4.121 1.825
10.299 -0.434 -3.166
B Co Mo
6 2 6
Direct
0.914 0.173 0.103 B
0.794 0.412 0.250 B
0.914 0.173 0.397 B
0.086 0.827 0.603 B
0.206 0.588 0.750 B
0.086 0.827 0.897 B
0.500 0.000 0.000 Co
0.500 0.000 0.500 Co
0.212 0.576 0.107 Mo
0.499 0.002 0.250 Mo
0.212 0.576 0.393 Mo
0.788 0.424 0.607 Mo
0.501 0.998 0.750 Mo
0.788 0.424 0.893 Mo
```

8.
Entry from OQMD via LeMat-Bulk: a relaxed structure of CoBMo2 (PBE-GGA).

Its total energy is -8.350 eV per atom.

```
CoBMo2
1.0
1.371 -3.486 1.749
-2.681 -2.672 1.662
-0.692 -3.642 -1.830
B Co Mo
1 1 2
Direct
0.500 0.500 0.500 B
0.250 0.250 0.250 Co
0.000 0.000 0.000 Mo
0.750 0.750 0.750 Mo
```

9.
Entry from OQMD via LeMat-Bulk: a relaxed structure of CoBMo (PBE-GGA).

Its total energy is -8.179 eV per atom.

```
CoBMo
1.0
3.494 0.000 0.000
-1.747 3.026 0.000
0.000 0.000 6.131
B Co Mo
2 2 2
Direct
0.333 0.667 0.250 B
0.667 0.333 0.750 B
0.667 0.333 0.250 Co
0.333 0.667 0.750 Co
0.000 0.000 0.000 Mo
0.000 0.000 0.500 Mo
```

10.
Entry from OQMD via LeMat-Bulk: a relaxed structure of CoBMo (PBE-GGA).

Its total energy is -8.562 eV per atom.

```
CoBMo
1.0
5.770 0.000 0.000
-2.885 4.997 0.000
0.000 0.000 3.220
B Co Mo
3 3 3
Direct
0.667 0.333 0.000 B
0.333 0.667 0.000 B
0.000 0.000 0.500 B
0.246 0.000 0.000 Co
0.000 0.246 0.000 Co
0.754 0.754 0.000 Co
0.588 0.000 0.500 Mo
0.412 0.412 0.500 Mo
0.000 0.588 0.500 Mo
```

11.
Entry from OQMD via LeMat-Bulk: a relaxed structure of CoBMo (PBE-GGA).

Its total energy is -8.107 eV per atom.

```
CoBMo
1.0
-4.708 0.622 4.156
5.617 -2.163 1.896
0.835 2.650 0.550
B Co Mo
3 3 3
Direct
0.667 0.333 0.000 B
0.333 0.667 0.000 B
0.000 0.000 0.500 B
0.604 0.000 0.500 Co
0.396 0.396 0.500 Co
0.000 0.604 0.500 Co
0.269 0.000 0.000 Mo
0.000 0.269 0.000 Mo
0.731 0.731 0.000 Mo
```

12.
Entry from OQMD via LeMat-Bulk: a relaxed structure of CoBMo (PBE-GGA).

Its total energy is -8.647 eV per atom.

```
CoBMo
1.0
5.742 0.000 0.000
0.000 3.242 0.000
0.000 0.000 6.618
B Co Mo
4 4 4
Direct
0.728 0.250 0.125 B
0.228 0.250 0.375 B
0.772 0.750 0.625 B
0.272 0.750 0.875 B
0.357 0.250 0.057 Co
0.857 0.250 0.443 Co
0.143 0.750 0.557 Co
0.643 0.750 0.943 Co
0.028 0.750 0.174 Mo
0.528 0.750 0.326 Mo
0.472 0.250 0.674 Mo
0.972 0.250 0.826 Mo
```

13.
Entry from OQMD via LeMat-Bulk: a relaxed structure of CoBMo (PBE-GGA).

Its total energy is -8.244 eV per atom.

```
CoBMo
1.0
-1.363 3.405 0.016
-1.585 -2.619 2.020
3.324 1.311 4.308
B Co Mo
2 2 2
Direct
0.333 0.667 0.463 B
0.667 0.333 0.963 B
0.333 0.667 0.052 Co
0.667 0.333 0.552 Co
0.000 0.000 0.236 Mo
0.000 0.000 0.736 Mo
```

14.
Entry from OQMD via LeMat-Bulk: a relaxed structure of CoBMo (PBE-GGA).

Its total energy is -8.076 eV per atom.

```
CoBMo
1.0
-4.162 0.373 4.048
-0.948 -3.028 -4.876
1.192 -2.756 1.480
B Co Mo
3 3 3
Direct
0.281 0.000 0.000 B
0.000 0.281 0.000 B
0.719 0.719 0.000 B
0.667 0.333 0.000 Co
0.333 0.667 0.000 Co
0.000 0.000 0.500 Co
0.603 0.000 0.500 Mo
0.397 0.397 0.500 Mo
0.000 0.603 0.500 Mo
```

15.
Entry from OQMD via LeMat-Bulk: a relaxed structure of CoBMo2 (PBE-GGA).

Its total energy is -8.802 eV per atom.

```
CoBMo2
1.0
3.034 0.000 0.000
-1.517 2.627 0.000
0.000 0.000 12.718
B Co Mo
2 2 4
Direct
0.000 0.000 0.000 B
0.000 0.000 0.500 B
0.667 0.333 0.250 Co
0.333 0.667 0.750 Co
0.333 0.667 0.098 Mo
0.333 0.667 0.402 Mo
0.667 0.333 0.598 Mo
0.667 0.333 0.902 Mo
```

16.
Entry from OQMD via LeMat-Bulk: a relaxed structure of CoBMo (PBE-GGA).

Its total energy is -8.086 eV per atom.

```
CoBMo
1.0
4.069 0.000 0.000
-2.034 3.524 0.000
0.000 0.000 4.521
B Co Mo
2 2 2
Direct
0.333 0.667 0.250 B
0.667 0.333 0.750 B
0.000 0.000 0.000 Co
0.000 0.000 0.500 Co
0.667 0.333 0.250 Mo
0.333 0.667 0.750 Mo
```

17.
Entry from OQMD via LeMat-Bulk: a relaxed structure of NbCoBMo (PBE-GGA).

Its total energy is -8.198 eV per atom. Its energy above the lowest structure with this stoichiometry is 0.000 eV/atom.

```
NbCoBMo
1.0
0.000 2.959 2.959
2.959 0.000 2.959
2.959 2.959 0.000
B Co Mo Nb
1 1 1 1
Direct
0.000 0.000 0.000 B
0.750 0.750 0.750 Co
0.250 0.250 0.250 Mo
0.500 0.500 0.500 Nb
```

18.
Entry from OQMD via LeMat-Bulk: a relaxed structure of CoBMoPt (PBE-GGA).

Its total energy is -7.024 eV per atom. Its energy above the lowest structure with this stoichiometry is 0.245 eV/atom.

```
CoBMoPt
1.0
-3.657 -0.458 1.929
-1.472 3.047 2.419
-3.294 2.224 -1.229
B Co Mo Pt
1 1 1 1
Direct
0.000 0.000 0.000 B
0.750 0.750 0.750 Co
0.500 0.500 0.500 Mo
0.250 0.250 0.250 Pt
```

19.
Entry from OQMD via LeMat-Bulk: a relaxed structure of CoBMoPt (PBE-GGA).

Its total energy is -7.269 eV per atom. Its energy above the lowest structure with this stoichiometry is 0.000 eV/atom.

```
CoBMoPt
1.0
-3.406 1.681 1.627
-0.992 3.914 -0.875
-3.255 0.817 -2.410
B Co Mo Pt
1 1 1 1
Direct
0.000 0.000 0.000 B
0.750 0.750 0.750 Co
0.250 0.250 0.250 Mo
0.500 0.500 0.500 Pt
```

20.
Entry from OQMD via LeMat-Bulk: a relaxed structure of TaCoBMo (PBE-GGA).

Its total energy is -8.659 eV per atom. Its energy above the lowest structure with this stoichiometry is 0.000 eV/atom.

```
TaCoBMo
1.0
-3.691 -1.045 1.676
-1.542 2.205 3.207
-3.331 2.470 -0.568
B Co Mo Ta
1 1 1 1
Direct
0.000 0.000 0.000 B
0.750 0.750 0.750 Co
0.250 0.250 0.250 Mo
0.500 0.500 0.500 Ta
```